# Ho5Rh2Pb (PBE, relaxed)
# * energy of formation from the pure elements: -0.665 eV per atom
# * Fermi-level density of states: 16.138 states/eV/cell
# * V: 406.5 Å³ per cell
# * M_tot: 0.00 μB per formula unit
# * electronic total energy: -5.827 eV/atom
data_Ho5Rh2Pb
_chemical_formula_sum 'Ho10 Rh4 Pb2'
_space_group_name_H-M_alt 'P 1'
_space_group_IT_number 1
_space_group_name_Hall 'P 1'
_cell_length_a 8.6860
_cell_length_b 8.6860
_cell_length_c 8.6860
_cell_angle_alpha 126.83
_cell_angle_beta 126.83
_cell_angle_gamma 78.53
loop_
_atom_site_label
_atom_site_fract_x
_atom_site_fract_y
_atom_site_fract_z
Ho1 0.0000 0.0000 0.0000
Ho2 0.0227 0.5227 0.8138
Ho3 0.2089 0.0227 0.5000
Ho4 0.2911 0.7911 0.8138
Ho5 0.4773 0.2911 0.5000
Ho6 0.5000 0.5000 0.0000
Ho7 0.5227 0.7089 0.5000
Ho8 0.7089 0.2089 0.1862
Ho9 0.7911 0.9773 0.5000
Ho10 0.9773 0.4773 0.1862
Rh1 0.1399 0.3601 0.5000
Rh2 0.3601 0.8601 0.2201
Rh3 0.6399 0.1399 0.7799
Rh4 0.8601 0.6399 0.5000
Pb1 0.2500 0.2500 0.0000
Pb2 0.7500 0.7500 0.0000



# Ho3Rh8Pb (PBE, relaxed)
# * energy of formation from the pure elements: -0.587 eV per atom
# * Fermi-level density of states: 7.697 states/eV/cell
# * V: 213.9 Å³ per cell
# * M_tot: 0.00 μB per formula unit
# * electronic total energy: -6.941 eV/atom
data_Ho3Rh8Pb
_chemical_formula_sum 'Ho3 Rh8 Pb1'
_space_group_name_H-M_alt 'P 1'
_space_group_IT_number 1
_space_group_name_Hall 'P 1'
_cell_length_a 9.2656
_cell_length_b 9.2656
_cell_length_c 9.2656
_cell_angle_alpha 33.33
_cell_angle_beta 33.33
_cell_angle_gamma 33.33
loop_
_atom_site_label
_atom_site_fract_x
_atom_site_fract_y
_atom_site_fract_z
Ho1 0.0000 0.0000 0.0000
Ho2 0.1277 0.1277 0.1277
Ho3 0.5067 0.5067 0.5067
Rh1 0.0657 0.0657 0.5634
Rh2 0.0657 0.5635 0.0657
Rh3 0.0667 0.5669 0.5669
Rh4 0.3158 0.3158 0.3158
Rh5 0.5634 0.0657 0.0657
Rh6 0.5669 0.0667 0.5669
Rh7 0.5669 0.5669 0.0667
Rh8 0.8160 0.8160 0.8160
Pb1 0.6294 0.6294 0.6294



# HoScRhPb (PBE, relaxed)
# * energy of formation from the pure elements: -0.513 eV per atom
# * Fermi-level density of states: 2.774 states/eV/cell
# * V: 88.5 Å³ per cell
# * M_tot: 0.00 μB per formula unit
# * electronic total energy: -6.005 eV/atom
data_HoScRhPb
_chemical_formula_sum 'Ho1 Sc1 Rh1 Pb1'
_space_group_name_H-M_alt 'P 1'
_space_group_IT_number 1
_space_group_name_Hall 'P 1'
_cell_length_a 5.0015
_cell_length_b 5.0015
_cell_length_c 5.0015
_cell_angle_alpha 60.00
_cell_angle_beta 60.00
_cell_angle_gamma 60.00
loop_
_atom_site_label
_atom_site_fract_x
_atom_site_fract_y
_atom_site_fract_z
Ho1 0.0000 0.0000 0.0000
Sc1 0.5000 0.5000 0.5000
Rh1 0.7500 0.7500 0.7500
Pb1 0.2500 0.2500 0.2500



# HoTmRhPb (PBE, relaxed)
# * energy of formation from the pure elements: -0.528 eV per atom
# * Fermi-level density of states: 3.103 states/eV/cell
# * V: 94.0 Å³ per cell
# * M_tot: 0.00 μB per formula unit
# * electronic total energy: -5.555 eV/atom
# * excess energy over the best structure of this formula in the dataset: 174 meV per atom
data_HoTmRhPb
_chemical_formula_sum 'Ho1 Tm1 Rh1 Pb1'
_space_group_name_H-M_alt 'P 1'
_space_group_IT_number 1
_space_group_name_Hall 'P 1'
_cell_length_a 5.1030
_cell_length_b 5.1030
_cell_length_c 5.1030
_cell_angle_alpha 60.00
_cell_angle_beta 60.00
_cell_angle_gamma 60.00
loop_
_atom_site_label
_atom_site_fract_x
_atom_site_fract_y
_atom_site_fract_z
Ho1 0.0000 0.0000 0.0000
Tm1 0.5000 0.5000 0.5000
Rh1 0.7500 0.7500 0.7500
Pb1 0.2500 0.2500 0.2500